LuCoNO | PBE with a Hubbard U | relaxed

The space group is Pmc2_1 (No. 26) and the conventional cell measures 3.6801, 5.9919 and 4.7372 Å, with angles of 90.00, 90.00 and 90.00 degrees. The asymmetric unit holds Lu at (0.0000, 0.1906, 0.0000), Co at (0.5000, 0.3123, 0.5101), N at (0.0000, 0.1769, 0.4908) and O at (0.5000, 0.3573, 0.9677).

The total energy is -7.186 eV/atom. As for the mass density: 8.4 Mg/m³.